Record 1
HfSn2N after structural relaxation. Source: OQMD, functional GGA-PBE.

Output
**V**: 17.897 A^3/atom
**Raw total energy**: -6.328 eV per atom
**SG**: P6_3/mmc, No. 194
**Spin magnetization**: 0.0 μB per formula unit

a = 3.2346 Å, b = 3.2346 Å, c = 15.8011 Å
α = 90.00°, β = 90.00°, γ = 120.00°
Fractional coordinates of all 8 atoms:
N (0.0000, 0.0000, 0.0000)
N (0.0000, 0.0000, 0.5000)
Sn (0.3333, 0.6667, 0.0958)
Hf (0.3333, 0.6667, 0.7500)
Hf (0.6667, 0.3333, 0.2500)
Sn (0.6667, 0.3333, 0.5958)
Sn (0.3333, 0.6667, 0.4042)
Sn (0.6667, 0.3333, 0.9042)

Record 2
Hf2Ta4Sn3N3 after structural relaxation. Source: OQMD, functional GGA-PBE.

Output
**V**: 16.001 A^3/atom
**Raw total energy**: -9.311 eV per atom
**SG**: C2/c, No. 15
**Spin magnetization**: 0.0 μB per formula unit

a = 5.6893 Å, b = 5.6893 Å, c = 14.0425 Å
α = 101.56°, β = 101.56°, γ = 60.29°
Fractional coordinates of all 24 atoms:
Ta (0.8684, 0.6927, 0.0783)
Sn (0.9357, 0.0643, 0.2500)
Sn (0.7723, 0.5802, 0.7485)
N (0.1881, 0.6570, 0.0000)
Hf (0.4713, 0.6422, 0.9106)
Ta (0.3073, 0.1316, 0.4217)
Ta (0.9639, 0.8159, 0.4213)
Ta (0.8159, 0.9640, 0.9213)
Ta (0.0361, 0.1841, 0.5787)
N (0.0000, 0.5000, 0.5000)
N (0.3430, 0.8119, 0.5000)
N (0.8119, 0.3430, 0.0000)
N (0.6570, 0.1881, 0.5000)
Hf (0.3578, 0.5287, 0.5894)
Sn (0.4198, 0.2277, 0.7515)
Sn (0.2277, 0.4198, 0.2515)
Sn (0.5802, 0.7723, 0.2485)
Ta (0.6927, 0.8684, 0.5783)
Ta (0.1316, 0.3073, 0.9217)
Hf (0.5287, 0.3578, 0.0894)
Hf (0.6422, 0.4713, 0.4106)
N (0.5000, 0.0000, 0.0000)
Ta (0.1841, 0.0361, 0.0787)
Sn (0.0643, 0.9357, 0.7500)

Record 3
Hf4TlSnN2 after structural relaxation. Source: OQMD, functional GGA-PBE.

Output
**V**: 16.907 A^3/atom
**Raw total energy**: -8.825 eV per atom
**SG**: P-6m2, No. 187
**Spin magnetization**: 0.0 μB per formula unit

a = 3.2600 Å, b = 3.2600 Å, c = 14.6964 Å
α = 90.00°, β = 90.00°, γ = 120.00°
Fractional coordinates of all 8 atoms:
Hf (0.3333, 0.6667, 0.6683)
N (0.0000, 0.0000, 0.2490)
Hf (0.6667, 0.3333, 0.1628)
Hf (0.3333, 0.6667, 0.3317)
Sn (0.3333, 0.6667, 0.0000)
N (0.0000, 0.0000, 0.7510)
Hf (0.6667, 0.3333, 0.8372)
Tl (0.6667, 0.3333, 0.5000)

Record 4
Hf4Sn3W2N3 after structural relaxation. Source: OQMD, functional GGA-PBE.

Output
**V**: 16.126 A^3/atom
**Raw total energy**: -9.148 eV per atom
**SG**: C2/c, No. 15
**Spin magnetization**: 0.0 μB per formula unit

a = 5.6869 Å, b = 5.7140 Å, c = 14.1178 Å
α = 101.63°, β = 90.00°, γ = 119.84°
Fractional coordinates of all 24 atoms:
N (0.0000, 0.5000, 0.5000)
N (0.5000, 0.5000, 0.0000)
N (0.8544, 0.1787, 0.0000)
Sn (0.2684, 0.6844, 0.2474)
Sn (0.1001, 0.0000, 0.7500)
Sn (0.4160, 0.6844, 0.7475)
Hf (0.1524, 0.4547, 0.9151)
Sn (0.7316, 0.3156, 0.7526)
N (0.3243, 0.1787, 0.5001)
N (0.1457, 0.8213, 0.0000)
Hf (0.8476, 0.5453, 0.0849)
W (0.6186, 0.0903, 0.4206)
Hf (0.7913, 0.7758, 0.9154)
Hf (0.2087, 0.2242, 0.0846)
Hf (0.3022, 0.4547, 0.4151)
Hf (0.0154, 0.2242, 0.5846)
W (0.4716, 0.0903, 0.9206)
Hf (0.9846, 0.7758, 0.4154)
Hf (0.6978, 0.5453, 0.5849)
N (0.6757, 0.8213, 0.4999)
W (0.3814, 0.9097, 0.5794)
Sn (0.5840, 0.3156, 0.2525)
W (0.5284, 0.9097, 0.0794)
Sn (0.8999, 0.0000, 0.2500)